Entry 1:
Entry from OQMD: an optimized crystal structure of Cs4ZrO4 (PBE-GGA).

Properties
The final energy is -198.4 eV for the cell shown. The calculation puts the energy relative to the lowest polymorph listed for this composition at 0 meV per atom.

Structure (extended XYZ):
```
36
Lattice="7.1660 0.0000 0.0000 0.0000 19.8591 0.0000 -2.8097 0.0000 6.5827" Properties=species:S:1:pos:R:3 pbc="T T T"
Cs 0.5068 1.6333 1.4854
Cs -0.8981 8.2962 4.7767
Cs -0.4618 4.3035 4.4827
Cs 0.9430 5.6260 1.1913
Cs -0.1010 0.3055 4.9452
Cs 1.3038 9.6241 1.6539
Cs 1.3737 13.6665 2.1133
Cs -0.0311 16.1222 5.4046
Cs 4.3874 3.7369 1.1781
Cs 2.9826 6.1926 4.4694
Cs 3.0524 10.2350 4.9288
Cs 4.4573 19.5536 1.6375
Cs 3.4132 14.2331 5.3914
Cs 4.8181 15.5556 2.1000
Cs 5.2543 11.5629 1.8060
Cs 3.8495 18.2258 5.0973
Zr -0.4899 12.3650 5.2624
Zr 0.9150 17.4237 1.9711
Zr 3.4413 2.4354 4.6116
Zr 4.8461 7.4942 1.3203
O -1.1839 13.7116 3.9605
O 0.2209 16.0771 0.6691
O -2.0599 11.8009 6.3692
O -0.6551 17.9878 3.0779
O 0.2969 10.8754 4.1829
O 1.7017 18.9133 0.8916
O 2.1155 3.3304 3.4057
O 3.5203 6.5991 0.1143
O 0.8359 13.2600 6.4684
O 2.2408 16.5287 3.1770
O 2.6546 0.9458 5.6911
O 4.0594 8.9837 2.3998
O 5.0113 1.8713 3.5048
O 6.4162 8.0583 0.2135
O 4.1354 3.7820 5.9136
O 5.5402 6.1475 2.6222
```


Entry 2:
Entry from OQMD: an optimized crystal structure of ReNi5 (PBE-GGA).

Properties
The formation energy is 15 kJ/mol of atoms. The final energy is -157.2 eV for the cell shown. The calculation puts the energy relative to the lowest polymorph listed for this composition at 0 meV per atom.

Structure (extended XYZ):
```
24
Lattice="4.6215 0.0000 0.0000 -2.3108 4.0024 0.0000 0.0000 0.0000 14.9490" Properties=species:S:1:pos:R:3 pbc="T T T"
Re 0.0000 2.6682 2.4433
Re 0.0000 2.6682 5.0312
Re 2.3108 1.3341 9.9178
Re 2.3108 1.3341 12.5057
Ni 0.0000 0.0000 1.4266
Ni 0.0000 0.0000 6.0479
Ni 0.0000 0.0000 8.9011
Ni 0.0000 0.0000 13.5223
Ni -1.1554 2.0012 0.0000
Ni -1.1554 2.0012 7.4745
Ni 0.0000 1.2973 11.2117
Ni -1.1873 3.3537 11.2117
Ni 1.1235 0.6486 3.7372
Ni 0.0000 2.6682 9.3424
Ni 0.0000 2.6682 13.0810
Ni 2.3108 0.0000 0.0000
Ni 2.3108 0.0000 7.4745
Ni 1.1554 2.0012 0.0000
Ni 1.1554 2.0012 7.4745
Ni 2.3108 1.3341 1.8679
Ni 2.3108 1.3341 5.6065
Ni 1.1873 3.3537 11.2117
Ni 3.4981 0.6486 3.7372
Ni 2.3108 2.7051 3.7372
```


Entry 3:
Entry from OQMD: an optimized crystal structure of HgH16C6N4Cl2 (PBE-GGA).

Properties
The final energy is -305.5 eV for the cell shown.

Structure (extended XYZ):
```
58
Lattice="4.2614 -4.5498 0.0000 4.2614 4.5498 0.0000 -1.3154 0.0000 16.0936" Properties=species:S:1:pos:R:3 pbc="T T T"
Hg 3.2749 2.8078 12.0702
Hg 3.9326 -2.8078 4.0234
H 3.2751 3.1625 2.1986
H 2.9742 3.0852 5.4405
H 2.0214 1.1565 1.3383
H 3.4049 3.0984 7.1027
H 4.4603 3.0984 0.9441
H 1.8290 1.1067 16.0466
H 4.5901 3.1625 5.8482
H 4.8910 3.0852 2.6063
H 2.7755 0.8958 6.4692
H 2.2973 0.3138 9.0548
H 1.3637 -1.1565 9.3852
H 3.9475 0.9431 2.9254
H 2.9550 -0.3138 1.0080
H 3.9177 0.9431 5.1215
H 2.1178 -0.8958 14.5160
H 2.4867 -1.1067 7.9998
H 4.7208 1.1067 8.0938
H 5.0897 0.8958 1.5777
H 3.2898 -0.9431 10.9722
H 4.2525 0.3138 15.0857
H 3.2600 -0.9431 13.1683
H 5.8438 1.1565 6.7085
H 4.9102 -0.3138 7.0388
H 4.4320 -0.8958 9.6245
H 2.3165 -3.0852 13.4873
H 2.6174 -3.1625 10.2454
H 5.3785 -1.1067 0.0470
H 2.7472 -3.0984 15.1495
H 3.8026 -3.0984 8.9909
H 5.1861 -1.1565 14.7553
H 4.2333 -3.0852 10.6531
H 3.9324 -3.1625 13.8950
C 3.0386 3.0289 10.0341
C 3.5112 3.0289 14.1063
C 2.9930 0.7823 0.9917
C 4.1078 1.2679 1.8913
C 3.7574 1.2679 6.1555
C 2.3353 -0.7823 9.0385
C 4.8722 0.7823 7.0551
C 3.4501 -1.2679 9.9381
C 3.0997 -1.2679 14.2023
C 4.2145 -0.7823 15.1019
C 3.6963 -3.0289 1.9873
C 4.1689 -3.0289 6.0595
N 2.9062 3.1562 8.8808
N 3.6783 2.7567 6.1527
N 4.1869 2.7567 1.8941
N 3.6436 3.1562 15.2597
N 3.5638 -3.1562 0.8340
N 3.0206 -2.7567 14.1995
N 3.5292 -2.7567 9.9409
N 4.3013 -3.1562 7.2129
Cl 1.1391 0.9159 12.2922
Cl 1.7968 -0.9159 4.2454
Cl 5.4107 0.9159 11.8482
Cl 6.0684 -0.9159 3.8014
```


Entry 4:
Entry from OQMD: an optimized crystal structure of CsHoScSe3 (PBE-GGA).

Properties
The final energy is -63.6 eV for the cell shown.

Structure (extended XYZ):
```
12
Lattice="2.1497 -8.0677 0.0000 2.1497 8.0677 0.0000 0.0000 0.0000 11.0506" Properties=species:S:1:pos:R:3 pbc="T T T"
Cs 2.1497 4.2368 8.2879
Cs 2.1497 -4.2368 2.7626
Ho 2.1497 0.0000 0.0000
Ho 2.1497 0.0000 5.5253
Sc 2.1497 7.4642 2.7626
Sc 2.1497 -7.4642 8.2879
Se 2.1497 6.1519 0.5568
Se 2.1497 6.1519 4.9685
Se 2.1497 0.8796 2.7626
Se 2.1497 -0.8796 8.2879
Se 2.1497 -6.1519 6.0821
Se 2.1497 -6.1519 10.4938
```


Entry 5:
Entry from OQMD: an optimized crystal structure of GdHoPbN (PBE-GGA).

Properties
The final energy is -51.3 eV for the cell shown.

Structure (extended XYZ):
```
8
Lattice="3.5551 0.0000 0.0000 -1.7776 3.0788 0.0000 0.0000 0.0000 15.6980" Properties=species:S:1:pos:R:3 pbc="T T T"
Gd 0.0000 0.0000 2.6402
Gd 0.0000 0.0000 13.0577
Ho 1.7776 1.0263 5.2556
Ho 1.7776 1.0263 10.4424
Pb 0.0000 0.0000 7.8490
Pb 1.7776 1.0263 0.0000
N 0.0000 2.0525 4.0145
N 0.0000 2.0525 11.6834
```


Entry 6:
Entry from OQMD: an optimized crystal structure of AcReB (PBE-GGA).

Properties
The final energy is -19.0 eV for the cell shown. The calculation puts the energy relative to the lowest polymorph listed for this composition at 339 meV per atom.

Structure (extended XYZ):
```
3
Lattice="0.0000 3.1376 3.1376 3.1376 0.0000 3.1376 3.1376 3.1376 0.0000" Properties=species:S:1:pos:R:3 pbc="T T T"
Ac 0.0000 0.0000 0.0000
Re 4.7063 4.7063 4.7063
B 3.1376 3.1376 3.1376
```


Which of these has the highest final energy?
AcReB


Repeat the first record exactly.
Entry from OQMD: an optimized crystal structure of Cs4ZrO4 (PBE-GGA).

Properties
The final energy is -198.4 eV for the cell shown. The calculation puts the energy relative to the lowest polymorph listed for this composition at 0 meV per atom.

Structure (extended XYZ):
```
36
Lattice="7.1660 0.0000 0.0000 0.0000 19.8591 0.0000 -2.8097 0.0000 6.5827" Properties=species:S:1:pos:R:3 pbc="T T T"
Cs 0.5068 1.6333 1.4854
Cs -0.8981 8.2962 4.7767
Cs -0.4618 4.3035 4.4827
Cs 0.9430 5.6260 1.1913
Cs -0.1010 0.3055 4.9452
Cs 1.3038 9.6241 1.6539
Cs 1.3737 13.6665 2.1133
Cs -0.0311 16.1222 5.4046
Cs 4.3874 3.7369 1.1781
Cs 2.9826 6.1926 4.4694
Cs 3.0524 10.2350 4.9288
Cs 4.4573 19.5536 1.6375
Cs 3.4132 14.2331 5.3914
Cs 4.8181 15.5556 2.1000
Cs 5.2543 11.5629 1.8060
Cs 3.8495 18.2258 5.0973
Zr -0.4899 12.3650 5.2624
Zr 0.9150 17.4237 1.9711
Zr 3.4413 2.4354 4.6116
Zr 4.8461 7.4942 1.3203
O -1.1839 13.7116 3.9605
O 0.2209 16.0771 0.6691
O -2.0599 11.8009 6.3692
O -0.6551 17.9878 3.0779
O 0.2969 10.8754 4.1829
O 1.7017 18.9133 0.8916
O 2.1155 3.3304 3.4057
O 3.5203 6.5991 0.1143
O 0.8359 13.2600 6.4684
O 2.2408 16.5287 3.1770
O 2.6546 0.9458 5.6911
O 4.0594 8.9837 2.3998
O 5.0113 1.8713 3.5048
O 6.4162 8.0583 0.2135
O 4.1354 3.7820 5.9136
O 5.5402 6.1475 2.6222
```